The following is a meta-GGA SCAN calculation of a PBEsol-optimized structure of La3AgS, from Alexandria via LeMat-Bulk.

Its electronic total energy is -1.279 hartree per atom. The raw formation energy is -748 meV/atom. As for the symmetry: Pm-3m, No. 221. As for the magnetic moment: 0.00 μB per cell.

a = 5.407 Å, b = 5.407 Å, c = 5.407 Å
α = 90.00°, β = 90.00°, γ = 90.00°
Fractional coordinates of all 5 atoms:
La  0.000  0.000  0.500
La  0.000  0.500  0.000
La  0.500  0.000  0.000
Ag  0.500  0.500  0.500
S  0.000  0.000  0.000